No. 1
The following is a GGA-PBE calculation of a relaxed structure of Nd3MgCo8, from the Alexandria database. Values from VASP.

Cell and atoms, written as Quantum ESPRESSO input:
```
&SYSTEM
  ibrav = 0, nat = 12, ntyp = 3
/
ATOMIC_SPECIES
Nd 144.24 Nd.upf
Mg 24.30 Mg.upf
Co 58.93 Co.upf
CELL_PARAMETERS angstrom
2.5446 1.4691 8.3852
-2.5446 1.4691 8.3852
0.0000 -2.9382 8.3852
ATOMIC_POSITIONS crystal
Nd 0.0000 0.0000 0.0000
Nd 0.1270 0.1270 0.1270
Nd 0.6204 0.6204 0.6204
Mg 0.4984 0.4984 0.4984
Co 0.0615 0.0615 0.5552
Co 0.0615 0.5552 0.0615
Co 0.0692 0.5622 0.5622
Co 0.3118 0.3118 0.3118
Co 0.5552 0.0615 0.0615
Co 0.5622 0.0692 0.5622
Co 0.5622 0.5622 0.0692
Co 0.8132 0.8132 0.8132
```

Calculated values
- Total energy: -6.10 eV/atom
- N(E_F): 1.52 states/eV/atom
- Magnetic moment: 8.3 μB/cell

No. 2
The following is a GGA-PBE calculation of a relaxed structure of Ba6Mg15In8, from the Alexandria database. Values from VASP.

Cell and atoms, written as Quantum ESPRESSO input:
```
&SYSTEM
  ibrav = 0, nat = 29, ntyp = 3
/
ATOMIC_SPECIES
Ba 137.33 Ba.upf
Mg 24.30 Mg.upf
In 114.82 In.upf
CELL_PARAMETERS angstrom
0.0000 7.6133 7.6133
7.6133 0.0000 7.6133
7.6133 7.6133 0.0000
ATOMIC_POSITIONS crystal
Ba 0.2230 0.2230 0.7770
Ba 0.2230 0.7770 0.2230
Ba 0.2230 0.7770 0.7770
Ba 0.7770 0.2230 0.2230
Ba 0.7770 0.2230 0.7770
Ba 0.7770 0.7770 0.2230
Mg 0.0000 0.0000 0.5000
Mg 0.0000 0.5000 0.0000
Mg 0.0000 0.5000 0.5000
Mg 0.1754 0.1754 0.1754
Mg 0.1754 0.1754 0.4738
Mg 0.1754 0.4738 0.1754
Mg 0.4738 0.1754 0.1754
Mg 0.5000 0.0000 0.0000
Mg 0.5000 0.0000 0.5000
Mg 0.5000 0.5000 0.0000
Mg 0.5000 0.5000 0.5000
Mg 0.5262 0.8246 0.8246
Mg 0.8246 0.5262 0.8246
Mg 0.8246 0.8246 0.5262
Mg 0.8246 0.8246 0.8246
In 0.1117 0.6294 0.6294
In 0.3706 0.3706 0.3706
In 0.3706 0.3706 0.8883
In 0.3706 0.8883 0.3706
In 0.6294 0.1117 0.6294
In 0.6294 0.6294 0.1117
In 0.6294 0.6294 0.6294
In 0.8883 0.3706 0.3706
```

Calculated values
- Total energy: -2.16 eV/atom
- N(E_F): 0.71 states/eV/atom
- Magnetic moment: 0.7 μB/cell

No. 3
The following is a GGA-PBE calculation of a relaxed structure of Tb2Sm5Sc2, from the Alexandria database. Values from VASP.

Cell and atoms, written as Quantum ESPRESSO input:
```
&SYSTEM
  ibrav = 0, nat = 9, ntyp = 3
/
ATOMIC_SPECIES
Tb 158.93 Tb.upf
Sm 150.36 Sm.upf
Sc 44.96 Sc.upf
CELL_PARAMETERS angstrom
9.8525 -1.7352 0.0000
9.8525 1.7352 0.0000
-1.9059 0.0000 8.3312
ATOMIC_POSITIONS crystal
Tb 0.0550 0.0550 0.1625
Tb 0.9450 0.9450 0.8375
Sm 0.0000 0.0000 0.5000
Sm 0.2192 0.2192 0.1475
Sm 0.3375 0.3375 0.5161
Sm 0.6625 0.6625 0.4839
Sm 0.7808 0.7808 0.8525
Sc 0.4014 0.4014 0.1503
Sc 0.5986 0.5986 0.8497
```

Calculated values
- Total energy: -4.94 eV/atom
- N(E_F): 1.73 states/eV/atom
- ΔE to the lowest computed polymorph: 0 meV/atom
- Magnetic moment: 0.0 μB/cell

No. 4
The following is a GGA-PBE calculation of a relaxed structure of MgSiBr2, from the Alexandria database. Values from VASP.

Cell and atoms, written as Quantum ESPRESSO input:
```
&SYSTEM
  ibrav = 0, nat = 12, ntyp = 3
/
ATOMIC_SPECIES
Mg 24.30 Mg.upf
Si 28.09 Si.upf
Br 79.90 Br.upf
CELL_PARAMETERS angstrom
3.6774 0.0000 0.0000
-1.8387 3.1847 0.0000
0.0000 0.0000 28.4155
ATOMIC_POSITIONS crystal
Mg 0.0000 0.0000 0.0000
Mg 0.3333 0.6667 0.6667
Mg 0.6667 0.3333 0.3333
Si 0.0000 0.0000 0.5000
Si 0.3333 0.6667 0.1667
Si 0.6667 0.3333 0.8333
Br 0.0000 0.0000 0.1000
Br 0.0000 0.0000 0.9000
Br 0.3333 0.6667 0.5667
Br 0.3333 0.6667 0.7667
Br 0.6667 0.3333 0.2333
Br 0.6667 0.3333 0.4333
```

Calculated values
- Total energy: -2.58 eV/atom
- N(E_F): 0.01 states/eV/atom
- ΔE to the lowest computed polymorph: 371 meV/atom
- Magnetic moment: 0.0 μB/cell

No. 5
The following is a GGA-PBE calculation of a relaxed structure of Nd3Y2Er, from the Alexandria database. Values from VASP.

Cell and atoms, written as Quantum ESPRESSO input:
```
&SYSTEM
  ibrav = 0, nat = 12, ntyp = 3
/
ATOMIC_SPECIES
Nd 144.24 Nd.upf
Y 88.91 Y.upf
Er 167.26 Er.upf
CELL_PARAMETERS angstrom
5.1428 0.0000 0.0000
0.0000 15.3823 0.0000
0.0000 0.0000 5.0642
ATOMIC_POSITIONS crystal
Nd 0.0000 0.0000 0.0000
Nd 0.0000 0.3341 0.0000
Nd 0.0000 0.6659 0.0000
Nd 0.5000 0.1659 0.0000
Nd 0.5000 0.5000 0.0000
Nd 0.5000 0.8341 0.0000
Y 0.0000 0.1661 0.5000
Y 0.0000 0.8339 0.5000
Y 0.5000 0.3339 0.5000
Y 0.5000 0.6661 0.5000
Er 0.0000 0.5000 0.5000
Er 0.5000 0.0000 0.5000
```

Calculated values
- Total energy: -5.28 eV/atom
- N(E_F): 1.38 states/eV/atom
- ΔE to the lowest computed polymorph: 19 meV/atom
- Magnetic moment: 0.0 μB/cell

No. 6
The following is a GGA-PBE calculation of a relaxed structure of MgGaSi2, from the Alexandria database. Values from VASP.

Cell and atoms, written as Quantum ESPRESSO input:
```
&SYSTEM
  ibrav = 0, nat = 16, ntyp = 3
/
ATOMIC_SPECIES
Mg 24.30 Mg.upf
Ga 69.72 Ga.upf
Si 28.09 Si.upf
CELL_PARAMETERS angstrom
6.5522 0.0000 0.0000
0.0000 6.5522 0.0000
0.0000 0.0000 6.5522
ATOMIC_POSITIONS crystal
Mg 0.0000 0.0000 0.0000
Mg 0.0000 0.5000 0.5000
Mg 0.5000 0.0000 0.5000
Mg 0.5000 0.5000 0.0000
Ga 0.0000 0.0000 0.5000
Ga 0.0000 0.5000 0.0000
Ga 0.5000 0.0000 0.0000
Ga 0.5000 0.5000 0.5000
Si 0.2500 0.2500 0.2500
Si 0.2500 0.2500 0.7500
Si 0.2500 0.7500 0.2500
Si 0.2500 0.7500 0.7500
Si 0.7500 0.2500 0.2500
Si 0.7500 0.2500 0.7500
Si 0.7500 0.7500 0.2500
Si 0.7500 0.7500 0.7500
```

Calculated values
- Total energy: -3.57 eV/atom
- N(E_F): 0.34 states/eV/atom
- ΔE to the lowest computed polymorph: 79 meV/atom
- Magnetic moment: 0.0 μB/cell

No. 7
The following is a GGA-PBE calculation of a relaxed structure of HfCu4Pd7, from the Alexandria database. Values from VASP.

Cell and atoms, written as Quantum ESPRESSO input:
```
&SYSTEM
  ibrav = 0, nat = 12, ntyp = 3
/
ATOMIC_SPECIES
Hf 178.49 Hf.upf
Cu 63.55 Cu.upf
Pd 106.42 Pd.upf
CELL_PARAMETERS angstrom
6.0015 -2.4019 0.0000
6.0015 2.4019 0.0000
-3.9651 0.0000 6.5022
ATOMIC_POSITIONS crystal
Hf 0.0000 0.0000 0.0000
Cu 0.3121 0.3121 0.6450
Cu 0.4655 0.4655 0.3045
Cu 0.5345 0.5345 0.6955
Cu 0.6879 0.6879 0.3550
Pd 0.0695 0.0695 0.4045
Pd 0.2027 0.2027 0.8783
Pd 0.2517 0.2517 0.2789
Pd 0.5000 0.5000 0.0000
Pd 0.7483 0.7483 0.7211
Pd 0.7973 0.7973 0.1217
Pd 0.9305 0.9305 0.5955
```

Calculated values
- Total energy: -5.29 eV/atom
- N(E_F): 0.44 states/eV/atom
- Magnetic moment: 0.0 μB/cell

No. 8
The following is a GGA-PBE calculation of a relaxed structure of BCl, from the Alexandria database. Values from VASP.

Cell and atoms, written as Quantum ESPRESSO input:
```
&SYSTEM
  ibrav = 0, nat = 4, ntyp = 2
/
ATOMIC_SPECIES
B 10.81 B.upf
Cl 35.45 Cl.upf
CELL_PARAMETERS angstrom
4.1868 0.0000 0.0000
-2.0934 3.6259 0.0000
0.0000 0.0000 9.5026
ATOMIC_POSITIONS crystal
B 0.3333 0.6667 0.0000
B 0.6667 0.3333 0.5000
Cl 0.3333 0.6667 0.1795
Cl 0.6667 0.3333 0.6795
```

Calculated values
- Total energy: -3.19 eV/atom
- N(E_F): 0.00 states/eV/atom
- ΔE to the lowest computed polymorph: 1707 meV/atom
- Magnetic moment: 0.0 μB/cell

No. 9
The following is a GGA-PBE calculation of a relaxed structure of Ac2YCu2O6, from the Alexandria database. Values from VASP.

Cell and atoms, written as Quantum ESPRESSO input:
```
&SYSTEM
  ibrav = 0, nat = 11, ntyp = 4
/
ATOMIC_SPECIES
Ac 227.00 Ac.upf
Y 88.91 Y.upf
Cu 63.55 Cu.upf
O 16.00 O.upf
CELL_PARAMETERS angstrom
3.0050 1.7349 5.6396
-3.0050 1.7349 5.6396
0.0000 -3.4698 5.6396
ATOMIC_POSITIONS crystal
Ac 0.2078 0.2078 0.2078
Ac 0.7922 0.7922 0.7922
Y 0.0000 0.0000 0.0000
Cu 0.4218 0.4218 0.4218
Cu 0.5782 0.5782 0.5782
O 0.2086 0.7530 0.7530
O 0.2470 0.2470 0.7914
O 0.2470 0.7914 0.2470
O 0.7530 0.2086 0.7530
O 0.7530 0.7530 0.2086
O 0.7914 0.2470 0.2470
```

Calculated values
- Total energy: -7.00 eV/atom
- N(E_F): 0.65 states/eV/atom
- Magnetic moment: 1.1 μB/cell

No. 10
The following is a GGA-PBE calculation of a relaxed structure of Ni2Sb, from the Alexandria database. Values from VASP.

Cell and atoms, written as Quantum ESPRESSO input:
```
&SYSTEM
  ibrav = 0, nat = 12, ntyp = 2
/
ATOMIC_SPECIES
Ni 58.69 Ni.upf
Sb 121.76 Sb.upf
CELL_PARAMETERS angstrom
3.3141 0.0000 0.0000
0.0000 3.3141 0.0000
0.0000 0.0000 17.0465
ATOMIC_POSITIONS crystal
Ni 0.0000 0.2500 0.3011
Ni 0.0000 0.2500 0.4489
Ni 0.0000 0.7500 0.5511
Ni 0.0000 0.7500 0.6989
Ni 0.5000 0.2500 0.0511
Ni 0.5000 0.2500 0.1989
Ni 0.5000 0.7500 0.8011
Ni 0.5000 0.7500 0.9489
Sb 0.0000 0.2500 0.8750
Sb 0.0000 0.7500 0.1250
Sb 0.5000 0.2500 0.6250
Sb 0.5000 0.7500 0.3750
```

Calculated values
- Total energy: -5.05 eV/atom
- N(E_F): 0.94 states/eV/atom
- Magnetic moment: 0.0 μB/cell

No. 11
The following is a GGA-PBE calculation of a relaxed structure of Tb3Sm7Th, from the Alexandria database. Values from VASP.

Cell and atoms, written as Quantum ESPRESSO input:
```
&SYSTEM
  ibrav = 0, nat = 22, ntyp = 3
/
ATOMIC_SPECIES
Tb 158.93 Tb.upf
Sm 150.36 Sm.upf
Th 232.04 Th.upf
CELL_PARAMETERS angstrom
7.0402 0.0000 0.0000
0.0000 11.1454 0.0000
-3.4709 0.0000 9.5507
ATOMIC_POSITIONS crystal
Tb 0.0000 0.0000 0.0000
Tb 0.0000 0.5000 0.0000
Tb 0.2443 0.2500 0.4745
Tb 0.2729 0.7500 0.5195
Tb 0.7271 0.2500 0.4805
Tb 0.7557 0.7500 0.5255
Sm 0.0958 0.0434 0.6808
Sm 0.0958 0.4566 0.6808
Sm 0.1643 0.7500 0.8241
Sm 0.3013 0.2500 0.1024
Sm 0.3477 0.7500 0.1741
Sm 0.4122 0.0125 0.3270
Sm 0.4122 0.4875 0.3270
Sm 0.5878 0.5125 0.6730
Sm 0.5878 0.9875 0.6730
Sm 0.6523 0.2500 0.8259
Sm 0.6987 0.7500 0.8976
Sm 0.8357 0.2500 0.1759
Sm 0.9042 0.5434 0.3192
Sm 0.9042 0.9566 0.3192
Th 0.5000 0.0000 0.0000
Th 0.5000 0.5000 0.0000
```

Calculated values
- Total energy: -4.81 eV/atom
- N(E_F): 1.52 states/eV/atom
- ΔE to the lowest computed polymorph: 0 meV/atom
- Magnetic moment: 0.0 μB/cell

No. 12
The following is a GGA-PBE calculation of a relaxed structure of CaNd4Dy5, from the Alexandria database. Values from VASP.

Cell and atoms, written as Quantum ESPRESSO input:
```
&SYSTEM
  ibrav = 0, nat = 10, ntyp = 3
/
ATOMIC_SPECIES
Ca 40.08 Ca.upf
Nd 144.24 Nd.upf
Dy 162.50 Dy.upf
CELL_PARAMETERS angstrom
9.4335 -1.8107 0.0000
9.4335 1.8107 0.0000
-2.8178 0.0000 9.8636
ATOMIC_POSITIONS crystal
Ca 0.0000 0.0000 0.0000
Nd 0.2017 0.2017 0.6020
Nd 0.3980 0.3980 0.2049
Nd 0.6020 0.6020 0.7951
Nd 0.7983 0.7983 0.3980
Dy 0.0000 0.0000 0.5000
Dy 0.2020 0.2020 0.1002
Dy 0.3975 0.3975 0.6911
Dy 0.6025 0.6025 0.3089
Dy 0.7980 0.7980 0.8998
```

Calculated values
- Total energy: -4.37 eV/atom
- N(E_F): 1.47 states/eV/atom
- Magnetic moment: 0.0 μB/cell

What is the magnetic moment in the eighth record? 0.0 μB/cell